Density functional theory data (PBE-GGA) for Tb6MgTl5 after structural relaxation.

a b c (Å): 5.384 7.566 16.184
angles (deg): 90.00 90.00 90.00
Space group Immm (No. 71)
Asymmetric unit:
Tb1 0.000 0.245 0.000 [4 per cell]
Tb2 0.000 0.252 0.331 [8 per cell]
Mg1 0.000 0.000 0.500 [2 per cell]
Tl1 0.000 0.000 0.168 [4 per cell]
Tl2 0.000 0.500 0.158 [4 per cell]
Tl3 0.000 0.500 0.500 [2 per cell]

The calculation puts the density of states at the Fermi level at 9.9 states/eV/f.u. The total magnetization is 0.00 Bohr magnetons per cell.


Density functional theory data (PBE-GGA) for Tb4Mg5Tl after structural relaxation.

a b c (Å): 15.864 5.274 6.590
angles (deg): 90.00 105.56 90.00
Space group C2/m (No. 12)
Asymmetric unit:
Tb1 0.099 0.000 0.394 [4 per cell]
Tb2 0.195 0.500 0.808 [4 per cell]
Mg1 0.000 0.500 0.000 [2 per cell]
Mg2 0.098 0.000 0.915 [4 per cell]
Mg3 0.201 0.500 0.301 [4 per cell]
Tl1 0.000 0.500 0.500 [2 per cell]

The calculation puts the density of states at the Fermi level at 7.0 states/eV/f.u. The total magnetization is 0.00 Bohr magnetons per cell.


Density functional theory data (PBE-GGA) for TbMgTl2 after structural relaxation.

a b c (Å): 3.630 3.630 7.789
angles (deg): 90.00 90.00 90.00
Space group P4/mmm (No. 123)
Asymmetric unit:
Tb1 0.000 0.000 0.000 [1 per cell]
Mg1 0.000 0.000 0.500 [1 per cell]
Tl1 0.500 0.500 0.266 [2 per cell]

The calculation puts the density of states at the Fermi level at 2.7 states/eV/f.u. The total magnetization is 0.00 Bohr magnetons per cell.


Density functional theory data (PBE-GGA) for Tb8MgTl2 after structural relaxation.

a b c (Å): 5.415 8.613 8.629
angles (deg): 119.47 90.12 108.24
Space group P-1 (No. 2)
Asymmetric unit:
Tb1 0.065 0.130 0.221 [2 per cell]
Tb2 0.136 0.271 0.681 [2 per cell]
Tb3 0.320 0.639 0.558 [2 per cell]
Tb4 0.409 0.818 0.051 [2 per cell]
Mg1 0.500 0.000 0.500 [1 per cell]
Tl1 0.228 0.457 0.128 [2 per cell]

The calculation puts the density of states at the Fermi level at 10.6 states/eV/f.u. The total magnetization is 0.00 Bohr magnetons per cell.


Density functional theory data (PBE-GGA) for Tb4MgTl2 after structural relaxation.

a b c (Å): 5.3946 5.3946 26.0277
angles (deg): 90.00 90.00 120.00
Space group R-3m (No. 166, hexagonal axes)
Asymmetric unit:
Tb1 0.0000 0.0000 0.1279 [6 per cell]
Tb2 0.0000 0.0000 0.2752 [6 per cell]
Mg1 0.0000 0.0000 0.5000 [3 per cell]
Tl1 0.0000 0.0000 0.3939 [6 per cell]

The calculation puts the density of states at the Fermi level at 8.6 states/eV/f.u. The total magnetization is 0.00 Bohr magnetons per cell.


Density functional theory data (PBE-GGA) for Tb5MgTl3 after structural relaxation.

a b c (Å): 9.3527 9.3527 6.6690
angles (deg): 90.00 90.00 120.00
Space group P6_3/mcm (No. 193)
Asymmetric unit:
Tb1 0.0000 0.2998 0.2500 [6 per cell]
Tb2 0.3333 0.6667 0.0000 [4 per cell]
Mg1 0.0000 0.0000 0.0000 [2 per cell]
Tl1 0.0000 0.3617 0.7500 [6 per cell]

The calculation puts the density of states at the Fermi level at 8.4 states/eV/f.u. The total magnetization is 0.00 Bohr magnetons per cell.


Density functional theory data (PBE-GGA) for TbMg3Tl6 after structural relaxation.

a b c (Å): 9.506 5.016 11.289
angles (deg): 90.00 103.33 90.00
Space group P2_1/m (No. 11)
Asymmetric unit:
Tb1 0.054 0.250 0.389 [2 per cell]
Mg1 0.260 0.250 0.002 [2 per cell]
Mg2 0.348 0.750 0.812 [2 per cell]
Mg3 0.449 0.250 0.583 [2 per cell]
Tl1 0.063 0.750 0.913 [2 per cell]
Tl2 0.141 0.750 0.211 [2 per cell]
Tl3 0.175 0.250 0.701 [2 per cell]
Tl4 0.263 0.750 0.515 [2 per cell]
Tl5 0.368 0.250 0.295 [2 per cell]
Tl6 0.454 0.750 0.106 [2 per cell]

The calculation puts the density of states at the Fermi level at 4.5 states/eV/f.u. The total magnetization is 0.00 Bohr magnetons per cell.


Density functional theory data (PBE-GGA) for Tb5MgTl6 after structural relaxation.

a b c (Å): 6.401 11.122 9.950
angles (deg): 90.00 102.50 90.00
Space group C2/m (No. 12)
Asymmetric unit:
Tb1 0.000 0.000 0.000 [2 per cell]
Tb2 0.000 0.166 0.500 [4 per cell]
Tb3 0.000 0.330 0.000 [4 per cell]
Mg1 0.000 0.500 0.500 [2 per cell]
Tl1 0.245 0.336 0.746 [8 per cell]
Tl2 0.245 0.500 0.253 [4 per cell]

The calculation puts the density of states at the Fermi level at 7.7 states/eV/f.u. The total magnetization is 0.00 Bohr magnetons per cell.


Density functional theory data (PBE-GGA) for TbMgTl2 after structural relaxation.

a b c (Å): 3.5183 3.5183 30.3316
angles (deg): 90.00 90.00 120.00
Space group R3m (No. 160, hexagonal axes)
Asymmetric unit:
Tb1 0.0000 0.0000 0.0000 [3 per cell]
Mg1 0.0000 0.0000 0.8339 [3 per cell]
Tl1 0.0000 0.0000 0.4216 [3 per cell]
Tl2 0.0000 0.0000 0.5794 [3 per cell]

The calculation puts the density of states at the Fermi level at 3.5 states/eV/f.u. The total magnetization is 0.00 Bohr magnetons per cell.


Density functional theory data (PBE-GGA) for Tb3MgTl after structural relaxation.

a b c (Å): 5.092 21.955 5.092
angles (deg): 90.00 90.00 90.00
Space group Cmcm (No. 63)
Asymmetric unit:
Tb1 0.000 0.055 0.250 [4 per cell]
Tb2 0.000 0.249 0.250 [4 per cell]
Tb3 0.000 0.442 0.250 [4 per cell]
Mg1 0.000 0.153 0.750 [4 per cell]
Tl1 0.000 0.345 0.750 [4 per cell]

The calculation puts the density of states at the Fermi level at 5.5 states/eV/f.u. The total magnetization is 1.02 Bohr magnetons per cell.


Density functional theory data (PBE-GGA) for Tb2MgTl9 after structural relaxation.

a b c (Å): 4.781 4.781 14.337
angles (deg): 90.00 90.00 90.00
Space group P4/mmm (No. 123)
Asymmetric unit:
Tb1 0.000 0.000 0.162 [2 per cell]
Mg1 0.000 0.000 0.500 [1 per cell]
Tl1 0.000 0.500 0.000 [2 per cell]
Tl2 0.000 0.500 0.336 [4 per cell]
Tl3 0.500 0.500 0.168 [2 per cell]
Tl4 0.500 0.500 0.500 [1 per cell]

The calculation puts the density of states at the Fermi level at 6.1 states/eV/f.u. The total magnetization is 0.00 Bohr magnetons per cell.


Density functional theory data (PBE-GGA) for TbMgTl2 after structural relaxation.

a b c (Å): 4.8738 4.8738 15.4435
angles (deg): 90.00 90.00 120.00
Space group R-3m (No. 166, hexagonal axes)
Asymmetric unit:
Tb1 0.0000 0.0000 0.0000 [3 per cell]
Mg1 0.0000 0.0000 0.5000 [3 per cell]
Tl1 0.0000 0.0000 0.2365 [6 per cell]

The calculation puts the density of states at the Fermi level at 1.9 states/eV/f.u. The total magnetization is 0.00 Bohr magnetons per cell.


Density functional theory data (PBE-GGA) for TbMg3Tl after structural relaxation.

a b c (Å): 9.685 4.174 12.718
angles (deg): 90.00 90.00 90.00
Space group Pnma (No. 62)
Asymmetric unit:
Tb1 0.157 0.250 0.006 [4 per cell]
Mg1 0.071 0.250 0.404 [4 per cell]
Mg2 0.085 0.750 0.213 [4 per cell]
Mg3 0.149 0.750 0.796 [4 per cell]
Tl1 0.141 0.250 0.626 [4 per cell]

The calculation puts the density of states at the Fermi level at 2.8 states/eV/f.u. The total magnetization is 0.00 Bohr magnetons per cell.


Density functional theory data (PBE-GGA) for Tb2MgTl after structural relaxation.

a b c (Å): 5.0545 5.0545 17.6822
angles (deg): 90.00 90.00 120.00
Space group R3m (No. 160, hexagonal axes)
Asymmetric unit:
Tb1 0.0000 0.0000 0.0000 [3 per cell]
Tb2 0.0000 0.0000 0.2049 [3 per cell]
Mg1 0.0000 0.0000 0.4216 [3 per cell]
Tl1 0.0000 0.0000 0.6070 [3 per cell]

The calculation puts the density of states at the Fermi level at 3.7 states/eV/f.u. The total magnetization is 0.00 Bohr magnetons per cell.


Density functional theory data (PBE-GGA) for Tb3MgTl4 after structural relaxation.

a b c (Å): 9.950 6.523 6.595
angles (deg): 90.00 90.00 90.00
Space group Pmn2_1 (No. 31)
Asymmetric unit:
Tb1 0.000 0.021 0.000 [2 per cell]
Tb2 0.249 0.266 0.728 [4 per cell]
Mg1 0.000 0.492 0.468 [2 per cell]
Tl1 0.000 0.516 0.965 [2 per cell]
Tl2 0.000 0.992 0.492 [2 per cell]
Tl3 0.248 0.760 0.731 [4 per cell]

The calculation puts the density of states at the Fermi level at 5.0 states/eV/f.u. The total magnetization is 0.00 Bohr magnetons per cell.


Density functional theory data (PBE-GGA) for Tb6MgTl5 after structural relaxation.

a b c (Å): 6.464 11.220 9.993
angles (deg): 90.00 102.56 90.00
Space group C2/m (No. 12)
Asymmetric unit:
Tb1 0.248 0.000 0.250 [4 per cell]
Tb2 0.249 0.168 0.749 [8 per cell]
Mg1 0.000 0.500 0.000 [2 per cell]
Tl1 0.000 0.000 0.500 [2 per cell]
Tl2 0.000 0.167 0.000 [4 per cell]
Tl3 0.000 0.334 0.500 [4 per cell]

The calculation puts the density of states at the Fermi level at 7.8 states/eV/f.u. The total magnetization is 0.00 Bohr magnetons per cell.


Density functional theory data (PBE-GGA) for Tb5Mg4Tl after structural relaxation.

a b c (Å): 3.798 3.798 19.028
angles (deg): 90.00 90.00 90.00
Space group P4/mmm (No. 123)
Asymmetric unit:
Tb1 0.000 0.000 0.000 [1 per cell]
Tb2 0.000 0.000 0.200 [2 per cell]
Tb3 0.000 0.000 0.398 [2 per cell]
Mg1 0.500 0.500 0.100 [2 per cell]
Mg2 0.500 0.500 0.297 [2 per cell]
Tl1 0.500 0.500 0.500 [1 per cell]

The calculation puts the density of states at the Fermi level at 12.4 states/eV/f.u. The total magnetization is 0.00 Bohr magnetons per cell.


Density functional theory data (PBE-GGA) for Tb4Mg2Tl after structural relaxation.

a b c (Å): 7.531 7.531 7.452
angles (deg): 90.00 90.00 90.00
Space group I4/mmm (No. 139)
Asymmetric unit:
Tb1 0.250 0.250 0.250 [8 per cell]
Mg1 0.000 0.500 0.000 [4 per cell]
Tl1 0.000 0.000 0.000 [2 per cell]

The calculation puts the density of states at the Fermi level at 5.7 states/eV/f.u. The total magnetization is 0.00 Bohr magnetons per cell.


Density functional theory data (PBE-GGA) for Tb2MgTl6 after structural relaxation.

a b c (Å): 8.456 16.915 3.577
angles (deg): 90.00 90.00 90.00
Space group Cmmm (No. 65)
Asymmetric unit:
Tb1 0.000 0.192 0.000 [4 per cell]
Mg1 0.000 0.500 0.500 [2 per cell]
Tl1 0.185 0.342 0.500 [8 per cell]
Tl2 0.187 0.000 0.000 [4 per cell]

The calculation puts the density of states at the Fermi level at 5.1 states/eV/f.u. The total magnetization is 0.00 Bohr magnetons per cell.


Density functional theory data (PBE-GGA) for Tb2MgTl after structural relaxation.

a b c (Å): 5.001 5.001 4.332
angles (deg): 90.00 90.00 90.00
Space group P4/mmm (No. 123)
Asymmetric unit:
Tb1 0.000 0.500 0.000 [2 per cell]
Mg1 0.000 0.000 0.500 [1 per cell]
Tl1 0.500 0.500 0.500 [1 per cell]

The calculation puts the density of states at the Fermi level at 3.6 states/eV/f.u. The total magnetization is 0.00 Bohr magnetons per cell.


Result set for formation energy from the elements: -0.3214 -0.1398 -0.1960 -0.1368 -0.0254 -0.2953 -0.0770 -0.2209 -0.0986 -0.1825 -0.1366 -0.2004 -0.0749 0.1133 -0.2551 -0.2097 -0.1443 -0.0153 -0.0785 -0.2401 eV per atom, one per record in the order listed.